This record from Alexandria via LeMat-Bulk describes BaZn2CrF8 after structural relaxation. The functional is PBE with a Hubbard U.

Results
Energy: -4.87 eV/atom
Space group: R-3 (148)
Total magnetic moment: 4.0 μB/f.u.
Density of states at the Fermi level: 0.554 states/eV per atom

Lattice parameters (Å, degrees): 5.3571 5.3571 7.6934 69.62 69.62 60.00
Fractional coordinates of all 12 atoms:
Ba: 0.5000 0.5000 0.5000
Zn: 0.2677 0.2677 0.1968
Zn: 0.7323 0.7323 0.8032
Cr: 0.0000 0.0000 0.0000
F: 0.1757 0.1757 0.4729
F: 0.6321 0.2917 0.1635
F: 0.8243 0.8243 0.5271
F: 0.9126 0.6321 0.1635
F: 0.0874 0.3679 0.8365
F: 0.2917 0.9126 0.1635
F: 0.7083 0.0874 0.8365
F: 0.3679 0.7083 0.8365